Entry 1:
Material: Sm4Sn2Te
Method: DFT, PBE
State: optimized geometry

## Properties
Electronic total energy ... -4.991 eV per atom

a = 6.5928 Å, b = 6.4859 Å, c = 10.0977 Å
α = 90.00°, β = 93.19°, γ = 90.00°
With the nearest neighbours (Å) after each atom.
Space group P2_1/m (No. 11)
Unique sites:
Sm 0.0746 0.2500 0.1514  3 Te 3.13-3.30, 1 Sn 3.25
Sm 0.1446 0.7500 0.4471  1 Te 3.05, 3 Sn 3.17-3.40
Sm 0.3993 0.0053 0.7290  2 Sm 3.17-3.31, 4 Sn 3.19-3.30, 1 Te 3.22
Sn 0.2989 0.2500 0.4467  8 Sm 3.17-3.40
Sn 0.4465 0.7500 0.9991  4 Sm 3.19-3.28, 2 Sn 3.32, 1 Te 3.55
Te 0.0195 0.2500 0.8412  6 Sm 3.05-3.30

---

Entry 2:
Material: CaFeI2N
Method: DFT, PBE
State: optimized geometry

## Properties
Electronic total energy ... -3.492 eV per atom

a = 6.0491 Å, b = 6.0491 Å, c = 4.1704 Å
α = 90.00°, β = 90.00°, γ = 90.00°
With the nearest neighbours (Å) after each atom.
Space group P4/mmm (No. 123)
Unique sites:
Ca 0.0000 0.0000 0.0000  2 N 2.09
Fe 0.5000 0.5000 0.5000  8 I 3.67
I 0.0000 0.5000 0.0000  2 Ca 3.02
N 0.0000 0.0000 0.5000  2 Ca 2.09

---

Entry 3:
Material: BaNaPt4
Method: DFT, PBE
State: optimized geometry

## Properties
Electronic total energy ... -5.145 eV per atom

a = 7.8496 Å, b = 7.8496 Å, c = 7.8496 Å
α = 90.00°, β = 90.00°, γ = 90.00°
With the nearest neighbours (Å) after each atom.
Space group F-43m (No. 216)
Unique sites:
Ba 0.0000 0.0000 0.0000  12 Pt 3.26, 4 Na 3.40
Na 0.2500 0.2500 0.7500  12 Pt 3.25, 4 Ba 3.40
Pt 0.1245 0.1245 0.3755  6 Pt 2.76-2.79

---

Entry 4:
Material: Hf8PN2
Method: DFT, PBE
State: optimized geometry

## Properties
Electronic total energy ... -9.871 eV per atom

a = 11.9095 Å, b = 6.4979 Å, c = 5.6464 Å
α = 90.00°, β = 94.04°, γ = 90.00°
With the nearest neighbours (Å) after each atom.
Space group C2/m (No. 12)
Unique sites:
Hf 0.0860 0.2420 0.2226  1 N 2.10
Hf 0.1521 0.0000 0.7404  1 N 2.03
Hf 0.1758 0.5000 0.7784  1 N 2.07
P 0.0000 0.5000 0.5000  6 Hf 2.53-2.56
N 0.1828 0.5000 0.1456  4 Hf 2.03-2.10

---

Entry 5:
Material: TmMnAl6
Method: DFT, PBE
State: optimized geometry

## Properties
Electronic total energy ... -4.345 eV per atom

a = 5.7833 Å, b = 5.7833 Å, c = 17.2254 Å
α = 90.00°, β = 90.00°, γ = 120.00°
With the nearest neighbours (Å) after each atom.
Space group R-3m (No. 166, hexagonal axes)
Unique sites:
Tm 0.0000 0.0000 0.0000  12 Al 3.20
Mn 0.0000 0.0000 0.5000  6 Al 2.31
Al 0.0155 0.5077 0.9212  1 Mn 2.31

---

Entry 6:
Material: PuSb3Au
Method: DFT, PBE
State: optimized geometry

## Properties
Electronic total energy ... -6.295 eV per atom

a = 12.7375 Å, b = 6.2850 Å, c = 6.3017 Å
α = 90.00°, β = 90.00°, γ = 90.00°
With the nearest neighbours (Å) after each atom.
Space group Pbcm (No. 57)
Unique sites:
Pu 0.1881 0.0013 0.2500  9 Sb 3.19-3.29, 2 Au 3.38
Sb 0.0018 0.2500 0.0000  4 Sb 3.14-3.15, 4 Pu 3.25-3.29
Sb 0.2402 0.5055 0.2500  2 Au 2.94, 4 Pu 3.19-3.24, 1 Sb 3.28
Sb 0.4297 0.6411 0.7500  4 Au 2.88-2.97, 1 Pu 3.21
Au 0.3883 0.2500 0.0000  6 Sb 2.88-2.97, 2 Au 3.15

---

Entry 7:
Material: SrGaAs
Method: DFT, PBE
State: optimized geometry

## Properties
Electronic total energy ... -3.527 eV per atom

a = 9.0140 Å, b = 11.5560 Å, c = 14.0613 Å
α = 90.00°, β = 90.00°, γ = 90.00°
With the nearest neighbours (Å) after each atom.
Space group Fddd (No. 70, origin choice 2)
Unique sites:
Sr 0.1250 0.1250 0.2890  4 As 3.13-3.20, 2 Ga 3.49
Ga 0.0000 0.0000 0.5000  2 As 2.56
As 0.1204 0.3750 0.3750  2 Ga 2.56

---

Entry 8:
Material: CsV3Cl
Method: DFT, PBE
State: optimized geometry

## Properties
Electronic total energy ... -3.475 eV per atom

a = 5.6980 Å, b = 5.6980 Å, c = 5.6980 Å
α = 90.00°, β = 90.00°, γ = 90.00°
With the nearest neighbours (Å) after each atom.
Space group Pm-3m (No. 221)
Unique sites:
Cs 0.0000 0.0000 0.0000  6 V 2.85
V 0.0000 0.0000 0.5000  2 Cs 2.85
Cl 0.5000 0.5000 0.5000  12 V 4.03